The following is a DFT calculation (meta-GGA SCAN) of KNa2GaHg at its PBEsol-relaxed geometry.

SG ... P4/mmm (123)
Total energy ... -20.08 eV/atom
Formation energy from the elements ... 0.9 eV/f.u.
Crystal system ... tetragonal

Cell: 5.645 5.645 6.276 Å, 90.00 90.00 90.00°
Element x y z (fractional)
Na 0.000 0.500 0.000
Na 0.500 0.000 0.000
K 0.000 0.000 0.500
Hg 0.500 0.500 0.500
Ga 0.000 0.000 0.000